No. 1
The following is a PBE-GGA calculation of an optimized crystal structure of Sm3Dy4Er4, from Alexandria via LeMat-Bulk.

Calculated values
SG: No. 71
ΔH_f (0 K): 184 kJ/mol of formula units

Unit cell a=3.5222 b=11.1966 c=10.8733 alpha=120.99 beta=99.32 gamma=90.00
Closest atoms and distances in Å follow each position.
Fractional coordinates of all 11 atoms:
Er1 0.6717 0.4276 0.3434  4 Dy 3.19-3.51, 4 Er 3.37-3.52, 2 Sm 3.55
Dy1 0.7824 0.2824 0.5648  6 Er 3.36-3.51, 2 Dy 3.52, 2 Sm 3.63
Sm1 0.0000 0.5000 0.0000  2 Sm 3.52, 4 Dy 3.70
Sm2 0.8907 0.8907 0.7815  2 Sm 3.52, 6 Dy 3.55-3.63, 4 Er 3.55
Er2 0.3283 0.5724 0.6566  4 Dy 3.19-3.51, 4 Er 3.37-3.52, 2 Sm 3.55
Sm3 0.1093 0.1093 0.2185  2 Sm 3.52, 6 Dy 3.55-3.63, 4 Er 3.55
Er3 0.6717 0.9158 0.3434  4 Dy 3.19-3.51, 4 Er 3.37-3.52, 2 Sm 3.55
Dy2 0.5000 0.7908 0.0000  2 Er 3.19, 2 Dy 3.52, 4 Sm 3.55
Dy3 0.2176 0.7176 0.4352  6 Er 3.36-3.51, 2 Dy 3.52, 2 Sm 3.63
Dy4 0.5000 0.2092 0.0000  2 Er 3.19, 2 Dy 3.52, 4 Sm 3.55
Er4 0.3283 0.0842 0.6566  4 Dy 3.19-3.51, 4 Er 3.37-3.52, 2 Sm 3.55

***

No. 2
The following is a PBE-GGA calculation of an optimized crystal structure of Sm12DyEr3, from Alexandria via LeMat-Bulk.

Calculated values
SG: No. 123
ΔH_f (0 K): 26 kJ/mol of formula units

Unit cell a=5.0911 b=5.0911 c=20.3276 alpha=90.00 beta=90.00 gamma=90.00
Closest atoms and distances in Å follow each position.
Fractional coordinates of all 16 atoms:
Sm1 0.0000 0.5000 0.6249  8 Sm 3.59-3.60, 4 Er 3.59
Sm2 0.5000 0.0000 0.6249  8 Sm 3.59-3.60, 4 Er 3.59
Er1 0.0000 0.0000 0.2503  12 Sm 3.59-3.60
Sm3 0.5000 0.0000 0.1254  2 Er 3.60, 8 Sm 3.60, 2 Dy 3.60
Sm4 0.5000 0.0000 0.3751  8 Sm 3.59-3.60, 4 Er 3.59
Sm5 0.5000 0.5000 0.5000  8 Sm 3.59, 4 Er 3.60
Sm6 0.5000 0.0000 0.8746  2 Er 3.60, 8 Sm 3.60, 2 Dy 3.60
Dy1 0.0000 0.0000 0.0000  12 Sm 3.60
Sm7 0.5000 0.5000 0.0000  4 Dy 3.60, 8 Sm 3.60
Er2 0.0000 0.0000 0.5000  12 Sm 3.59-3.60
Sm8 0.5000 0.5000 0.7496  8 Sm 3.59-3.60, 4 Er 3.60
Sm9 0.0000 0.5000 0.8746  2 Er 3.60, 8 Sm 3.60, 2 Dy 3.60
Sm10 0.0000 0.5000 0.3751  8 Sm 3.59-3.60, 4 Er 3.59
Sm11 0.5000 0.5000 0.2504  8 Sm 3.59-3.60, 4 Er 3.60
Er3 0.0000 0.0000 0.7497  12 Sm 3.59-3.60
Sm12 0.0000 0.5000 0.1254  2 Er 3.60, 8 Sm 3.60, 2 Dy 3.60

***

No. 3
The following is a PBE-GGA calculation of an optimized crystal structure of Sm5Dy4Er3, from Alexandria via LeMat-Bulk.

Calculated values
SG: No. 12
ΔH_f (0 K): 266 kJ/mol of formula units

Unit cell a=5.8858 b=8.6284 c=9.6298 alpha=106.20 beta=72.21 gamma=70.06
Closest atoms and distances in Å follow each position.
Fractional coordinates of all 12 atoms:
Er1 0.5198 0.6888 0.2716  5 Sm 3.08-3.44, 2 Dy 3.30-3.43
Dy1 0.1626 0.0529 0.6219  3 Er 3.30-3.50, 3 Dy 3.57-3.66, 3 Sm 3.62-3.63
Dy2 0.8583 0.2222 0.0611  2 Dy 3.28-3.66, 1 Er 3.43, 4 Sm 3.45-3.67
Er2 0.4802 0.3112 0.7284  5 Sm 3.08-3.44, 2 Dy 3.30-3.43
Sm1 0.3740 0.0500 0.2020  2 Er 3.25-3.50, 1 Sm 3.44, 2 Dy 3.62
Dy3 0.8374 0.9471 0.3781  3 Er 3.30-3.50, 3 Dy 3.57-3.66, 3 Sm 3.62-3.63
Sm2 0.5000 0.5000 0.5000  4 Er 2.94-3.08
Sm3 0.6260 0.9500 0.7980  2 Er 3.25-3.50, 1 Sm 3.44, 2 Dy 3.62
Dy4 0.1417 0.7778 0.9389  2 Dy 3.28-3.66, 1 Er 3.43, 4 Sm 3.45-3.67
Er3 0.0000 0.5000 0.5000  2 Sm 2.94
Sm4 0.7884 0.5376 0.8857  4 Er 3.21-3.44, 3 Dy 3.45-3.56
Sm5 0.2116 0.4624 0.1143  4 Er 3.21-3.44, 3 Dy 3.45-3.56

***

No. 4
The following is a PBE-GGA calculation of an optimized crystal structure of Sm4Dy2Er5, from Alexandria via LeMat-Bulk.

Calculated values
SG: No. 12
Energy above the lowest structure with this stoichiometry: 0 meV per atom
ΔH_f (0 K): 116 kJ/mol of formula units

Unit cell a=5.6361 b=6.5565 c=9.9507 alpha=91.24 beta=106.45 gamma=90.00
Closest atoms and distances in Å follow each position.
Fractional coordinates of all 11 atoms:
Dy1 0.5984 0.5538 0.1969  6 Er 3.51-3.68, 6 Sm 3.62-3.84, 1 Dy 3.81
Er1 0.2089 0.4010 0.4177  4 Er 3.46-3.64, 5 Sm 3.55-3.86, 3 Dy 3.67-3.68
Sm1 0.9779 0.7157 0.9558  1 Sm 2.97, 1 Er 3.10
Er2 0.8696 0.1103 0.7393  5 Sm 3.10-3.35
Dy2 0.4016 0.4462 0.8031  6 Er 3.51-3.68, 6 Sm 3.62-3.84, 1 Dy 3.81
Sm2 0.0221 0.2843 0.0442  1 Sm 2.97, 1 Er 3.10
Er3 0.1304 0.8897 0.2607  5 Sm 3.10-3.35
Er4 0.5000 0.0000 0.0000  6 Sm 3.40-3.74, 2 Dy 3.51
Er5 0.7911 0.5990 0.5823  4 Er 3.46-3.64, 5 Sm 3.55-3.86, 3 Dy 3.67-3.68
Sm3 0.6949 0.0744 0.3898  6 Er 3.30-3.65, 2 Sm 3.66, 1 Dy 3.68
Sm4 0.3051 0.9256 0.6102  6 Er 3.30-3.65, 2 Sm 3.66, 1 Dy 3.68

***

No. 5
The following is a PBE-GGA calculation of an optimized crystal structure of SmDy7Er4, from Alexandria via LeMat-Bulk.

Calculated values
SG: No. 2
Energy above the lowest structure with this stoichiometry: 0 meV per atom
ΔH_f (0 K): -3 kJ/mol of formula units

Unit cell a=7.1350 b=9.4296 c=8.7854 alpha=81.08 beta=90.02 gamma=40.91
Closest atoms and distances in Å follow each position.
Fractional coordinates of all 12 atoms:
Sm1 0.0000 0.0000 0.0000  2 Er 3.52, 10 Dy 3.52-3.57
Er1 0.5297 0.7212 0.3347  8 Dy 3.48-3.58, 3 Er 3.49-3.57, 1 Sm 3.52
Er2 0.4703 0.2788 0.6653  8 Dy 3.48-3.58, 3 Er 3.49-3.57, 1 Sm 3.52
Dy1 0.2490 0.4998 0.9998  3 Er 3.52, 7 Dy 3.52-3.58, 2 Sm 3.57
Dy2 0.5000 0.0000 0.0000  4 Er 3.52, 6 Dy 3.52-3.57, 2 Sm 3.57
Dy3 0.7510 0.5002 0.0002  3 Er 3.52, 7 Dy 3.52-3.58, 2 Sm 3.57
Er3 0.7208 0.7793 0.6652  4 Er 3.48-3.57, 8 Dy 3.49-3.57
Er4 0.2792 0.2207 0.3348  4 Er 3.48-3.57, 8 Dy 3.49-3.57
Dy4 0.2221 0.7781 0.6655  6 Dy 3.49-3.57, 5 Er 3.50-3.58, 1 Sm 3.52
Dy5 0.9720 0.2793 0.6648  6 Er 3.48-3.58, 5 Dy 3.50-3.57, 1 Sm 3.53
Dy6 0.7779 0.2219 0.3345  6 Dy 3.49-3.57, 5 Er 3.50-3.58, 1 Sm 3.52
Dy7 0.0280 0.7207 0.3352  6 Er 3.48-3.58, 5 Dy 3.50-3.57, 1 Sm 3.53

***

No. 6
The following is a PBE-GGA calculation of an optimized crystal structure of Sm2Dy4Er, from Alexandria via LeMat-Bulk.

Calculated values
SG: No. 11
Energy above the lowest structure with this stoichiometry: 0 meV per atom
ΔH_f (0 K): 92 kJ/mol of formula units

Unit cell a=6.0766 b=6.6026 c=11.5599 alpha=90.00 beta=103.98 gamma=90.00
Closest atoms and distances in Å follow each position.
Fractional coordinates of all 14 atoms:
Sm1 0.3996 0.2500 0.0057  6 Dy 3.34-3.71, 2 Er 3.40-3.69, 2 Sm 3.53
Er1 0.8533 0.2500 0.8432  6 Dy 3.31-3.46, 2 Sm 3.40-3.69
Dy1 0.6487 0.9940 0.2882  5 Dy 3.22-3.53, 1 Er 3.46, 2 Sm 3.47-3.58
Sm2 0.7126 0.7500 0.5713  9 Dy 3.34-3.58
Dy2 0.3513 0.4940 0.7118  5 Dy 3.22-3.53, 1 Er 3.46, 2 Sm 3.47-3.58
Dy3 0.9794 0.2500 0.1454  3 Sm 3.34-3.50, 2 Dy 3.35, 3 Er 3.39-3.45
Sm3 0.2874 0.2500 0.4287  9 Dy 3.34-3.58
Sm4 0.6004 0.7500 0.9943  6 Dy 3.34-3.71, 2 Er 3.40-3.69, 2 Sm 3.53
Er2 0.1467 0.7500 0.1568  6 Dy 3.31-3.46, 2 Sm 3.40-3.69
Dy4 0.3513 0.0060 0.7118  5 Dy 3.22-3.53, 1 Er 3.46, 2 Sm 3.47-3.58
Dy5 0.6487 0.5060 0.2882  5 Dy 3.22-3.53, 1 Er 3.46, 2 Sm 3.47-3.58
Dy6 0.8495 0.2500 0.5567  1 Er 3.31, 4 Sm 3.34-3.42, 4 Dy 3.49-3.53
Dy7 0.1505 0.7500 0.4433  1 Er 3.31, 4 Sm 3.34-3.42, 4 Dy 3.49-3.53
Dy8 0.0206 0.7500 0.8546  3 Sm 3.34-3.50, 2 Dy 3.35, 3 Er 3.39-3.45

***

No. 7
The following is a PBE-GGA calculation of an optimized crystal structure of Sm3Dy2Er6, from Alexandria via LeMat-Bulk.

Calculated values
SG: No. 139
ΔH_f (0 K): 296 kJ/mol of formula units

Unit cell a=4.7164 b=4.7164 c=16.8803 alpha=98.03 beta=98.03 gamma=90.00
Closest atoms and distances in Å follow each position.
Fractional coordinates of all 11 atoms:
Er1 0.6938 0.6938 0.3875  5 Sm 3.35-3.44, 4 Er 3.37
Er2 0.3791 0.8791 0.7582  6 Er 3.34-3.37, 2 Dy 3.42, 2 Sm 3.58
Sm1 0.0000 0.0000 0.0000  8 Dy 3.67
Sm2 0.2024 0.2024 0.4048  9 Er 3.35-3.58
Dy1 0.5462 0.5462 0.0923  1 Dy 3.06, 4 Er 3.42
Er3 0.6209 0.1209 0.2418  6 Er 3.34-3.37, 2 Dy 3.42, 2 Sm 3.58
Er4 0.3062 0.3062 0.6125  5 Sm 3.35-3.44, 4 Er 3.37
Sm3 0.7976 0.7976 0.5952  9 Er 3.35-3.58
Er5 0.1209 0.6209 0.2418  6 Er 3.34-3.37, 2 Dy 3.42, 2 Sm 3.58
Er6 0.8791 0.3791 0.7582  6 Er 3.34-3.37, 2 Dy 3.42, 2 Sm 3.58
Dy2 0.4538 0.4538 0.9077  1 Dy 3.06, 4 Er 3.42

***

No. 8
The following is a PBE-GGA calculation of an optimized crystal structure of Sm2Dy3Er2, from Alexandria via LeMat-Bulk.

Calculated values
SG: No. 12
Energy above the lowest structure with this stoichiometry: 100 meV per atom
ΔH_f (0 K): 81 kJ/mol of formula units

Unit cell a=3.4986 b=8.5065 c=8.8937 alpha=118.56 beta=101.34 gamma=90.00
Closest atoms and distances in Å follow each position.
Fractional coordinates of all 7 atoms:
Dy1 0.7883 0.2009 0.5767  5 Dy 3.31-3.50, 3 Sm 3.43-3.57, 3 Er 3.57-3.58
Sm1 0.4337 0.0884 0.8675  3 Sm 3.32-3.50, 5 Dy 3.43-3.57, 2 Er 3.59
Er1 0.1491 0.3315 0.2982  4 Er 3.50-3.72, 4 Dy 3.53-3.58, 4 Sm 3.59-3.72
Dy2 0.0000 0.5000 0.0000  4 Dy 3.31-3.50, 2 Er 3.53, 4 Sm 3.57
Er2 0.8509 0.6685 0.7018  4 Er 3.50-3.72, 4 Dy 3.53-3.58, 4 Sm 3.59-3.72
Dy3 0.2117 0.7991 0.4233  5 Dy 3.31-3.50, 3 Sm 3.43-3.57, 3 Er 3.57-3.58
Sm2 0.5663 0.9116 0.1325  3 Sm 3.32-3.50, 5 Dy 3.43-3.57, 2 Er 3.59

***

no.,Fermi-level density of states (states/eV per atom)
1,1.35
2,1.47
3,1.65
4,1.62
5,1.33
6,1.68
7,1.58
8,1.52